# Er2Th4Sn3N2, relaxed, DFT PBE
# total moment	0.00	μB per formula unit
# formation energy (no corrections)	-855	meV/atom
# density of states at the Fermi level	5.86	states/eV/f.u.
# energy	-6.99	eV/atom
data_Er2Th4Sn3N2
_chemical_formula_sum 'Er4 Th8 Sn6 N4'
_cell_length_a 4.805
_cell_length_b 4.805
_cell_length_c 25.635
_cell_angle_alpha 90.00
_cell_angle_beta 90.00
_cell_angle_gamma 90.00
_space_group_name_H-M_alt 'I 4/m m m'
_space_group_IT_number 139
_space_group_name_Hall '-I 4 2'
loop_
_atom_site_label
_atom_site_fract_x
_atom_site_fract_y
_atom_site_fract_z
Er1 0.000 0.000 0.196
Th1 0.000 0.500 0.085
Sn1 0.000 0.000 0.319
Sn2 0.000 0.000 0.500
N1 0.000 0.000 0.107